# CsCeBi2

A geometry-optimized CsCeBi2 structure (PBE, Alexandria via LeMat-Bulk).

Properties
**E_tot**: -4.051 eV/atom
**Spin magnetization**: 0.599 μB/f.u.
**V**: 540 Å³/cell
**ΔH_f (0 K)**: -0.4133 eV/atom

abc: 4.8662 4.8662 26.3410
angles: 90.00 90.00 120.00
Last column: nearest neighbours and their distance in Å.
Space group R-3m (No. 166, hexagonal axes)
Symmetry-distinct sites (fractional):
Cs1 0.0000 0.0000 0.0000 x3  6 Bi 4.01
Ce1 0.0000 0.0000 0.5000 x3  6 Bi 3.20
Bi1 0.0000 0.0000 0.2247 x6  3 Ce 3.20

# CsCe2Bi2O7

A geometry-optimized CsCe2Bi2O7 structure (PBE, Alexandria via LeMat-Bulk).

Properties
**E_tot**: -6.768 eV/atom
**Spin magnetization**: 1.013 μB/f.u.
**V**: 485 Å³/cell
**Energy relative to the elements, uncorrected**: -2.169 eV per atom

abc: 20.0575 4.2613 5.9163
angles: 90.00 106.35 90.00
Last column: nearest neighbours and their distance in Å.
Space group C2/m (No. 12)
Symmetry-distinct sites (fractional):
Cs1 0.0000 0.0000 0.0000 x2  4 O 3.14
Ce1 0.1122 0.5000 0.6341 x4  4 O 2.16-2.28
Bi1 0.2246 0.5000 0.2131 x4  4 O 2.20-2.30
O1 0.0000 0.5000 0.5000 x2  2 Ce 2.16
O2 0.1151 0.5000 0.0038 x4  1 Ce 2.17, 1 Bi 2.20
O3 0.1447 0.0000 0.5773 x4  2 Ce 2.28
O4 0.2423 0.5000 0.8552 x4  3 Bi 2.24-2.30

# CsCeBi2O6

A geometry-optimized CsCeBi2O6 structure (PBE, Alexandria via LeMat-Bulk).

Properties
**E_tot**: -6.158 eV/atom
**Spin magnetization**: 0.000 μB/f.u.
**V**: 968 Å³/cell
**Energy relative to the elements, uncorrected**: -1.728 eV per atom

abc: 10.6060 13.2479 7.7296
angles: 90.00 116.93 90.00
Last column: nearest neighbours and their distance in Å.
Space group C2/c (No. 15)
Symmetry-distinct sites (fractional):
Cs1 0.0000 0.1085 0.2500 x4  6 O 3.16-3.28
Ce1 0.0000 0.2089 0.7500 x4  4 O 2.12
Bi1 0.1416 0.4271 0.1742 x8  4 O 2.18-2.32
O1 0.0889 0.2829 0.0235 x8  1 Ce 2.12, 1 Bi 2.18
O2 0.1261 0.4619 0.4579 x8  2 Bi 2.18-2.32
O3 0.1308 0.1015 0.7066 x8  1 Ce 2.12, 1 Bi 2.19

# CsCe2BiO8

A geometry-optimized CsCe2BiO8 structure (PBE, Alexandria via LeMat-Bulk).

Properties
**E_tot**: -6.710 eV/atom
**Spin magnetization**: 0.023 μB/f.u.
**V**: 426 Å³/cell
**Energy relative to the elements, uncorrected**: -2.021 eV per atom

abc: 7.1384 7.2162 8.2775
angles: 90.00 90.00 90.00
Last column: nearest neighbours and their distance in Å.
Space group Cmmm (No. 65)
Symmetry-distinct sites (fractional):
Cs1 0.0000 0.0000 0.0000 x2  6 O 2.87-2.95
Ce1 0.0000 0.5000 0.2849 x4  4 O 2.12-2.27
Bi1 0.0000 0.0000 0.5000 x2  6 O 2.14-2.19
O1 0.0000 0.3038 0.5000 x4  1 Bi 2.19, 2 Ce 2.27
O2 0.0000 0.3984 0.0000 x4  1 O 1.47
O3 0.2039 0.0000 0.3099 x8  1 Ce 2.12, 1 Bi 2.14

# Cs2CeBiO6

A geometry-optimized Cs2CeBiO6 structure (PBE, Alexandria via LeMat-Bulk).

Properties
**E_tot**: -5.828 eV/atom
**Spin magnetization**: 1.085 μB/f.u.
**V**: 707 Å³/cell
**Energy relative to the elements, uncorrected**: -1.701 eV per atom

abc: 8.9081 8.9081 8.9081
angles: 90.00 90.00 90.00
Last column: nearest neighbours and their distance in Å.
Space group Fm-3m (No. 225)
Symmetry-distinct sites (fractional):
Cs1 0.2500 0.2500 0.2500 x8  12 O 3.15
Ce1 0.0000 0.0000 0.0000 x4  6 O 2.27
Bi1 0.0000 0.0000 0.5000 x4  6 O 2.18
O1 0.0000 0.0000 0.2548 x24  1 Bi 2.18, 1 Ce 2.27

# Cs3Ce3BiS8

A geometry-optimized Cs3Ce3BiS8 structure (PBE, Alexandria via LeMat-Bulk).

Properties
**E_tot**: -5.362 eV/atom
**Spin magnetization**: 2.011 μB/f.u.
**V**: 1492 Å³/cell
**Energy relative to the elements, uncorrected**: -1.545 eV per atom

abc: 8.3980 8.3980 24.4280
angles: 90.00 90.00 120.00
Last column: nearest neighbours and their distance in Å.
Space group R-3m (No. 166, hexagonal axes)
Symmetry-distinct sites (fractional):
Cs1 0.0000 0.5000 0.0000 x9  6 S 3.55-3.57
Ce1 0.0000 0.5000 0.5000 x9  6 S 2.82-2.84
Bi1 0.0000 0.0000 0.5000 x3  6 S 2.86
S1 0.0000 0.0000 0.2274 x6  3 Ce 2.84
S2 0.0038 0.5019 0.7732 x18  2 Ce 2.82, 1 Bi 2.86

# Cs2CeBiS4

A geometry-optimized Cs2CeBiS4 structure (PBE, Alexandria via LeMat-Bulk).

Properties
**E_tot**: -4.600 eV/atom
**Spin magnetization**: 1.018 μB/f.u.
**V**: 639 Å³/cell
**Energy relative to the elements, uncorrected**: -1.096 eV per atom

abc: 7.9305 7.9305 10.1649
angles: 90.00 90.00 90.00
Last column: nearest neighbours and their distance in Å.
Space group I-4 (No. 82)
Symmetry-distinct sites (fractional):
Cs1 0.0000 0.0000 0.0000 x2  4 S 3.51
Cs2 0.0000 0.5000 0.2500 x2  4 S 3.55
Ce1 0.0000 0.5000 0.7500 x2  4 S 2.70
Bi1 0.0000 0.0000 0.5000 x2  4 S 2.71
S1 0.1682 0.7472 0.6225 x8  1 Ce 2.70, 1 Bi 2.71

# Cs2CeBi2Se6

A geometry-optimized Cs2CeBi2Se6 structure (PBE, Alexandria via LeMat-Bulk).

Properties
**E_tot**: -4.347 eV/atom
**Spin magnetization**: 0.000 μB/f.u.
**V**: 821 Å³/cell
**Energy relative to the elements, uncorrected**: -1.047 eV per atom

abc: 7.4251 12.8633 8.9764
angles: 90.00 106.67 90.00
Last column: nearest neighbours and their distance in Å.
Space group C2/m (No. 12)
Symmetry-distinct sites (fractional):
Cs1 0.0000 0.1693 0.0000 x4  6 Se 3.65-3.67
Ce1 0.0000 0.0000 0.5000 x2  6 Se 2.88-2.90
Bi1 0.0000 0.3318 0.5000 x4  6 Se 2.96-2.99
Se1 0.2270 0.1627 0.6864 x8  1 Ce 2.90, 2 Bi 2.96-2.98
Se2 0.2408 0.5000 0.6852 x4  1 Ce 2.88, 2 Bi 2.99

# Cs2CeBiSe4

A geometry-optimized Cs2CeBiSe4 structure (PBE, Alexandria via LeMat-Bulk).

Properties
**E_tot**: -4.238 eV/atom
**Spin magnetization**: 1.017 μB/f.u.
**V**: 711 Å³/cell
**Energy relative to the elements, uncorrected**: -1.056 eV per atom

abc: 8.2938 8.2938 10.3411
angles: 90.00 90.00 90.00
Last column: nearest neighbours and their distance in Å.
Space group I-4 (No. 82)
Symmetry-distinct sites (fractional):
Cs1 0.0000 0.0000 0.0000 x2  4 Se 3.64
Cs2 0.0000 0.5000 0.2500 x2  4 Se 3.66
Ce1 0.0000 0.5000 0.7500 x2  4 Se 2.84
Bi1 0.0000 0.0000 0.5000 x2  4 Se 2.83
Se1 0.1729 0.2506 0.6237 x8  1 Bi 2.83, 1 Ce 2.84

# Cs3CeBi2Se6

A geometry-optimized Cs3CeBi2Se6 structure (PBE, Alexandria via LeMat-Bulk).

Properties
**E_tot**: -4.172 eV/atom
**Spin magnetization**: 1.007 μB/f.u.
**V**: 848 Å³/cell
**Energy relative to the elements, uncorrected**: -1.075 eV per atom

abc: 7.6518 13.2514 8.7452
angles: 90.00 106.94 90.00
Last column: nearest neighbours and their distance in Å.
Space group C2/m (No. 12)
Symmetry-distinct sites (fractional):
Cs1 0.0000 0.0000 0.0000 x2  6 Se 3.63
Cs2 0.0000 0.3320 0.0000 x4  6 Se 3.62-3.64
Ce1 0.0000 0.5000 0.5000 x2  6 Se 3.01
Bi1 0.0000 0.1665 0.5000 x4  6 Se 3.01
Se1 0.2298 0.0000 0.6911 x4  2 Bi 3.01, 1 Ce 3.01
Se2 0.2305 0.3331 0.6907 x8  2 Bi 3.01, 1 Ce 3.01

# Cs3Ce2BiSe6

A geometry-optimized Cs3Ce2BiSe6 structure (PBE, Alexandria via LeMat-Bulk).

Properties
**E_tot**: -4.638 eV/atom
**Spin magnetization**: 2.004 μB/f.u.
**V**: 853 Å³/cell
**Energy relative to the elements, uncorrected**: -1.370 eV per atom

abc: 7.6746 13.2908 8.7463
angles: 90.00 106.99 90.00
Last column: nearest neighbours and their distance in Å.
Space group C2/m (No. 12)
Symmetry-distinct sites (fractional):
Cs1 0.0000 0.0000 0.0000 x2  6 Se 3.64
Cs2 0.0000 0.3347 0.0000 x4  6 Se 3.64-3.65
Ce1 0.0000 0.1668 0.5000 x4  6 Se 3.01
Bi1 0.0000 0.5000 0.5000 x2  6 Se 3.01
Se1 0.2294 0.0000 0.6897 x4  2 Ce 3.01, 1 Bi 3.01
Se2 0.2302 0.3332 0.6901 x8  2 Ce 3.01, 1 Bi 3.01

# Ce2CuBi4

A geometry-optimized Ce2CuBi4 structure (PBE, Alexandria via LeMat-Bulk).

Properties
**E_tot**: -5.021 eV/atom
**Spin magnetization**: 0.863 μB/f.u.
**V**: 200 Å³/cell
**ΔH_f (0 K)**: -0.5228 eV/atom

abc: 4.5822 4.5822 9.5152
angles: 90.00 90.00 90.00
Last column: nearest neighbours and their distance in Å.
Space group P-4m2 (No. 115)
Symmetry-distinct sites (fractional):
Ce1 0.0000 0.5000 0.2268 x2  2 Cu 3.15, 8 Bi 3.31-3.47
Cu1 0.5000 0.5000 0.0000 x1  4 Bi 2.72
Bi1 0.0000 0.0000 0.5000 x1  4 Bi 3.24, 4 Ce 3.47
Bi2 0.0000 0.5000 0.8451 x2  2 Cu 2.72
Bi3 0.5000 0.5000 0.5000 x1  4 Bi 3.24, 4 Ce 3.47